Material: Fe2NiPd
Method: DFT, PBE-GGA
State: relaxed

a = 4.149 Å, b = 4.149 Å, c = 4.149 Å
α = 60.00°, β = 60.00°, γ = 60.00°
Atoms (fractional coordinates):
Fe 0.000 0.000 0.000
Fe 0.750 0.750 0.750
Ni 0.250 0.250 0.250
Pd 0.500 0.500 0.500

Calculated values
magnetization	6.5	Bohr magnetons per cell
total energy	-27.2	eV per cell